Here is a geometry-optimized LiAlRu2 structure from the Alexandria database. Energies are from PBE.

Properties
Final energy   -6.2641 eV per atom
Formation energy from the elements   -212 meV per atom

Unit cell a=4.2290 b=4.2290 c=4.2290 alpha=119.79 beta=119.79 gamma=90.36
Fractional positions:
Al  0.5000  0.5000  0.0000
Li  0.7500  0.2500  0.5000
Ru  0.0000  0.0000  0.0000
Ru  0.2500  0.7500  0.5000

***

Here is a geometry-optimized K4Th3ZrS8 structure from the Alexandria database. Energies are from PBE.

Properties
Energy relative to the elements, uncorrected   -1.627 eV per atom
Final energy   -5.8909 eV per atom

Unit cell a=8.0265 b=8.8564 c=8.0266 alpha=116.95 beta=120.00 gamma=90.00
Fractional positions:
K  0.5000  0.0000  0.0000
K  0.5000  0.0000  0.5000
K  0.0000  0.0000  0.0000
K  0.0000  0.0000  0.5000
Th  0.5000  0.5000  0.0000
Th  0.5000  0.5000  0.5000
Th  0.0000  0.5000  0.5000
Zr  0.0000  0.5000  0.0000
S  0.2290  0.7079  0.9790
S  0.2290  0.7079  0.4580
S  0.2601  0.2803  0.5202
S  0.7500  0.7079  0.9790
S  0.2500  0.2921  0.0210
S  0.7399  0.7197  0.4798
S  0.7710  0.2921  0.5420
S  0.7710  0.2921  0.0210

***

Here is a geometry-optimized CeNdPu structure from the Alexandria database. Energies are from PBE.

Properties
Energy above the most stable polymorph in this dataset   0.136 eV per atom
Final energy   -8.0740 eV per atom
Formation energy from the elements   271 meV per atom

Unit cell a=3.2263 b=5.6248 c=5.6248 alpha=120.00 beta=90.00 gamma=90.00
Each line ends with the local moment (μB).
Fractional positions:
Nd  0.1668  0.6667  0.3333  -0.08
Ce  0.1667  0.0000  0.0000  0.41
Pu  0.6666  0.3333  0.6667  5.38

***

Question: Number 2 is which compound?
Answer: K4Th3ZrS8